This record from the Alexandria database describes a relaxed structure of Nd2Zn3Ga4Hg. The functional is PBE-GGA.

Properties
Spin magnetization = 0.00 μB per atom
VASP energy = -3.017 eV per atom

Unit cell a=4.3164 b=4.3164 c=10.7736 alpha=90.00 beta=90.00 gamma=90.00
Last column: nearest neighbours and their distance in Å.
Space group P-4m2 (No. 115)
Asymmetric unit:
Nd  0.0000  0.5000  0.2422 [2 per cell]  8 Ga 3.28-3.39, 6 Zn 3.28-3.52, 2 Hg 3.52
Zn  0.0000  0.5000  0.8704 [2 per cell]  5 Ga 2.42-2.57
Zn  0.5000  0.5000  0.5000 [1 per cell]  4 Ga 2.67
Ga  0.0000  0.0000  0.0000 [1 per cell]  4 Zn 2.57
Ga  0.0000  0.5000  0.6455 [2 per cell]  3 Zn 2.42-2.67, 2 Hg 2.67
Ga  0.5000  0.5000  0.0000 [1 per cell]  4 Zn 2.57
Hg  0.0000  0.0000  0.5000 [1 per cell]  4 Ga 2.67